(1)
Computed, not measured: MgCoI after structural relaxation at the PBE-GGA level of DFT.

Unit cell a=10.9090 b=4.1961 c=3.7124 alpha=90.00 beta=109.74 gamma=101.22
With the nearest neighbours (Å) after each atom.
Fractional positions:
I: 0.0655 0.9447 0.6443  2 Mg 2.86, 2 Co 3.02
I: 0.4537 0.6352 0.5356  2 Mg 2.86, 2 Co 3.02
Mg: 0.8727 0.3471 0.4521  6 Co 2.78-2.84, 2 I 2.86, 2 Mg 2.93
Mg: 0.6466 0.2329 0.7278  6 Co 2.78-2.84, 2 I 2.86, 2 Mg 2.93
Co: 0.8283 0.8247 0.9080  2 Co 2.31
Co: 0.6910 0.7552 0.2718  2 Co 2.31

Results
VASP energy: -3.4879 eV/atom
DOS at the Fermi energy: 2.258 states/eV/f.u.
space group: P-1

(2)
Computed, not measured: Rb2DyPuO4 after structural relaxation at the PBE-GGA level of DFT.

Unit cell a=3.5613 b=6.1779 c=6.8763 alpha=107.41 beta=90.00 gamma=90.00
With the nearest neighbours (Å) after each atom.
Fractional positions:
Rb: 0.5000 0.0000 0.5000  6 O 2.97-2.98
Rb: 0.0000 0.5000 0.5000  6 O 2.93-2.96
Dy: 0.5000 0.5000 0.0000  6 O 2.34-2.35
Pu: 0.0000 0.0000 0.0000  6 O 2.37-2.39
O: 0.5000 0.2287 0.1750  1 Dy 2.34, 2 Pu 2.37
O: 0.5000 0.7713 0.8250  1 Dy 2.34, 2 Pu 2.37
O: 0.0000 0.2802 0.8236  2 Dy 2.35, 1 Pu 2.39
O: 0.0000 0.7198 0.1764  2 Dy 2.35, 1 Pu 2.39

Results
VASP energy: -7.5814 eV/atom
DOS at the Fermi energy: 5.352 states/eV/f.u.
space group: P2/m

(3)
Computed, not measured: LiNbSeO6 after structural relaxation at the PBE-GGA level of DFT.

Unit cell a=5.1335 b=5.1335 c=9.4901 alpha=90.00 beta=90.00 gamma=120.00
With the nearest neighbours (Å) after each atom.
Fractional positions:
Li: 0.0000 0.0000 0.0000  6 O 2.33
Li: 0.0000 0.0000 0.5000  6 O 2.33
Nb: 0.6667 0.3333 0.2500  6 O 2.02
Nb: 0.3333 0.6667 0.7500  6 O 2.02
Se: 0.3333 0.6667 0.2500  6 O 1.83
Se: 0.6667 0.3333 0.7500  6 O 1.83
O: 0.6145 0.6427 0.1405  1 Se 1.83, 1 Nb 2.02
O: 0.0282 0.3855 0.1405  1 Se 1.83, 1 Nb 2.02
O: 0.3855 0.0282 0.6405  1 Se 1.83, 1 Nb 2.02
O: 0.9718 0.6145 0.8595  1 Se 1.83, 1 Nb 2.02
O: 0.3573 0.3855 0.3595  1 Se 1.83, 1 Nb 2.02
O: 0.0282 0.6427 0.3595  1 Se 1.83, 1 Nb 2.02
O: 0.6427 0.0282 0.8595  1 Se 1.83, 1 Nb 2.02
O: 0.6145 0.9718 0.3595  1 Se 1.83, 1 Nb 2.02
O: 0.9718 0.3573 0.6405  1 Se 1.83, 1 Nb 2.02
O: 0.3573 0.9718 0.1405  1 Se 1.83, 1 Nb 2.02
O: 0.6427 0.6145 0.6405  1 Se 1.83, 1 Nb 2.02
O: 0.3855 0.3573 0.8595  1 Se 1.83, 1 Nb 2.02

Results
VASP energy: -6.5233 eV/atom
space group: P-31c

(4)
Computed, not measured: MoCl2 after structural relaxation at the PBE-GGA level of DFT.

Unit cell a=7.5726 b=7.5726 c=7.5968 alpha=70.48 beta=70.48 gamma=24.20
With the nearest neighbours (Å) after each atom.
Fractional positions:
Mo: 0.4803 0.4803 0.1547  1 Mo 2.22, 4 Cl 2.44
Mo: 0.5197 0.5197 0.8453  1 Mo 2.22, 4 Cl 2.44
Cl: 0.8475 0.8475 0.2561  2 Mo 2.44
Cl: 0.0940 0.0940 0.2068  2 Mo 2.44
Cl: 0.1525 0.1525 0.7439  2 Mo 2.44
Cl: 0.9060 0.9060 0.7932  2 Mo 2.44

Results
VASP energy: -5.6348 eV/atom
DOS at the Fermi energy: 0.867 states/eV/f.u.
space group: C2/m

(5)
Computed, not measured: ScMoW2 after structural relaxation at the PBE-GGA level of DFT.

Unit cell a=9.0729 b=9.0729 c=9.0729 alpha=19.16 beta=19.16 gamma=19.16
With the nearest neighbours (Å) after each atom.
Fractional positions:
Mo: 0.5069 0.5069 0.5069  3 W 2.66, 3 Sc 2.97
Sc: 0.7504 0.7504 0.7504  3 Mo 2.97, 3 W 2.97, 6 Sc 3.02
W: 0.9938 0.9938 0.9938  9 W 2.72-3.02, 3 Sc 2.97
W: 0.2489 0.2489 0.2489  3 Mo 2.66, 3 W 2.72

Results
energy of formation from the pure elements: 0.394 eV/atom
VASP energy: -10.3736 eV/atom
DOS at the Fermi energy: 4.075 states/eV/f.u.
space group: R3m

(6)
Computed, not measured: CuBr2Cl after structural relaxation at the PBE-GGA level of DFT.

Unit cell a=4.8047 b=4.8047 c=7.8689 alpha=90.00 beta=90.00 gamma=136.20
With the nearest neighbours (Å) after each atom.
Fractional positions:
Cu: 0.5000 0.5000 0.7500  4 Br 2.39
Br: 0.0000 0.0000 0.9515  2 Cu 2.39
Br: 0.0000 0.0000 0.5485  2 Cu 2.39
Cl: 0.5000 0.5000 0.2500  4 Br 2.95

Results
VASP energy: -2.4079 eV/atom
DOS at the Fermi energy: 0.826 states/eV/f.u.
space group: Cmmm

(7)
Computed, not measured: ScIn3Sn after structural relaxation at the PBE-GGA level of DFT.

Unit cell a=5.5768 b=5.5768 c=5.5768 alpha=90.00 beta=90.00 gamma=90.00
With the nearest neighbours (Å) after each atom.
Fractional positions:
Sc: 0.5000 0.5000 0.5000  12 In 3.94
Sn: 0.0000 0.0000 0.0000  6 In 2.79
In: 0.0000 0.5000 0.0000  2 Sn 2.79
In: 0.0000 0.0000 0.5000  2 Sn 2.79
In: 0.5000 0.0000 0.0000  2 Sn 2.79

Results
energy of formation from the pure elements: 0.628 eV/atom
VASP energy: -3.0821 eV/atom
DOS at the Fermi energy: 4.910 states/eV/f.u.
space group: Pm-3m

(8)
Computed, not measured: LaGa3O after structural relaxation at the PBE-GGA level of DFT.

Unit cell a=4.8287 b=4.8287 c=4.8287 alpha=90.00 beta=90.00 gamma=90.00
With the nearest neighbours (Å) after each atom.
Fractional positions:
O: 0.0000 0.0000 0.0000  6 Ga 2.41
Ga: 0.0000 0.5000 0.0000  2 O 2.41
Ga: 0.0000 0.0000 0.5000  2 O 2.41
Ga: 0.5000 0.0000 0.0000  2 O 2.41
La: 0.5000 0.5000 0.5000  12 Ga 3.41

Results
VASP energy: -4.2123 eV/atom
DOS at the Fermi energy: 3.650 states/eV/f.u.
space group: Pm-3m